The following is a GGA-PBEsol calculation of a relaxed structure of Li4Mn2Fe3Sb3O16, from Alexandria via LeMat-Bulk.

formation energy (no corrections) = -1514 meV/atom
VASP energy = -194.33 eV per cell

```
data_Li4Mn2Fe3Sb3O16
_chemical_formula_sum 'Li4 Mn2 Fe3 Sb3 O16'
_symmetry_space_group_name_H-M 'P 1'
_symmetry_Int_Tables_number 1
_cell_length_a 5.947
_cell_length_b 5.947
_cell_length_c 9.489
_cell_angle_alpha 90.84
_cell_angle_beta 90.84
_cell_angle_gamma 60.18
loop_
_symmetry_equiv_pos_as_xyz
'x,y,z'
loop_
_atom_site_label
_atom_site_fract_x
_atom_site_fract_y
_atom_site_fract_z
Sb1 0.841 0.341 0.211
Sb2 0.341 0.841 0.211
Sb3 0.171 0.171 0.720
Mn1 0.677 0.677 0.510
Mn2 0.350 0.350 0.989
Fe1 0.837 0.837 0.218
Fe2 0.664 0.175 0.716
Fe3 0.175 0.664 0.716
O1 0.834 0.316 0.604
O2 0.519 0.519 0.335
O3 0.679 0.679 0.099
O4 0.001 0.001 0.318
O5 0.999 0.999 0.816
O6 0.316 0.834 0.604
O7 0.971 0.530 0.333
O8 0.530 0.971 0.333
O9 0.171 0.171 0.098
O10 0.842 0.842 0.620
O11 0.502 0.038 0.839
O12 0.038 0.502 0.839
O13 0.337 0.337 0.610
O14 0.690 0.153 0.105
O15 0.483 0.483 0.826
O16 0.153 0.690 0.105
Li1 0.662 0.662 0.864
Li2 0.892 0.892 0.964
Li3 0.984 0.984 0.506
Li4 0.339 0.339 0.400
```